Compound: Mg2SeI2
Source: Alexandria
Functional: GGA-PBEsol
Structure: relaxed

Cell lengths 4.9954, 7.7561, 7.7561 Å; angles 90.00, 90.00, 90.00 degrees
Closest atoms and distances in Å follow each position.
Element x y z (fractional)
I  0.5000  0.6600  0.8400  2 Mg 2.78
I  0.5000  0.8400  0.3400  2 Mg 2.78
I  0.5000  0.1600  0.6600  2 Mg 2.78
Mg  0.0000  0.7718  0.7282  2 Se 2.75, 2 I 2.78
Mg  0.0000  0.2282  0.2718  2 Se 2.75, 2 I 2.78
Mg  0.0000  0.7282  0.2282  2 Se 2.75, 2 I 2.78
Se  0.0000  0.0000  0.0000  4 Mg 2.75
Se  0.0000  0.5000  0.5000  4 Mg 2.75
Mg  0.0000  0.2718  0.7718  2 Se 2.75, 2 I 2.78
I  0.5000  0.3400  0.1600  2 Mg 2.78

Values from the calculation:
- space-group type = P4/mbm
- uncorrected formation energy (eV per atom) = -0.590
- N(E_F) (states/eV per cell) = 2.1
- calculated volume (Å³/f.u.) = 150.3